## Na2PrCoF8 (PBE with a Hubbard U)

Data for a relaxed Na2PrCoF8 crystal.

Calculated values
Total magnetization (μB per cell): 3.98
Final energy (eV per atom): -5.19

Cell: 4.3667 7.1453 5.4235 Å, 90.00 92.23 90.00°
Space group P2/m (No. 10)
Asymmetric unit:
Na 0.0000 0.2328 0.0000 [2 per cell]
Pr 0.5000 0.5000 0.5000 [1 per cell]
Co 0.5000 0.0000 0.5000 [1 per cell]
F 0.0552 0.5000 0.2533 [2 per cell]
F 0.1594 0.0000 0.2901 [2 per cell]
F 0.3779 0.2186 0.7130 [4 per cell]